Record 1
V12Sn3Pt: optimized geometry, GGA-PBE.

a b c (Å): 4.9140 4.9076 9.8977
angles (deg): 90.00 90.00 90.00
Fractional positions:
V1 0.5000 0.0000 0.3837
V2 0.5000 0.0000 0.8690
V3 0.7439 0.5000 0.0000
V4 0.7578 0.5000 0.5000
V5 0.0000 0.7559 0.2565
V6 0.0000 0.7559 0.7435
V7 0.5000 0.0000 0.1310
V8 0.5000 0.0000 0.6163
V9 0.2561 0.5000 0.0000
V10 0.2422 0.5000 0.5000
V11 0.0000 0.2441 0.2565
V12 0.0000 0.2441 0.7435
Sn1 0.5000 0.5000 0.2501
Sn2 0.5000 0.5000 0.7499
Sn3 0.0000 0.0000 0.0000
Pt1 0.0000 0.0000 0.5000

Output
- Symmetry: Pmmm, No. 47
- VASP energy: -129.95 eV per cell
- Total magnetic moment: 0.00 μB/cell

Record 2
AcPa2Si6: optimized geometry, GGA-PBE.

a b c (Å): 4.1083 7.1306 7.1306
angles (deg): 120.00 90.00 90.00
Fractional positions:
Ac1 0.0000 0.0000 0.0000
Pa1 0.0000 0.3333 0.6667
Pa2 0.0000 0.6667 0.3333
Si1 0.5000 0.3395 0.3395
Si2 0.5000 0.6605 0.6605
Si3 0.5000 0.0000 0.6605
Si4 0.5000 0.6605 0.0000
Si5 0.5000 0.3395 0.0000
Si6 0.5000 0.0000 0.3395

Output
- Symmetry: P6/mmm, No. 191
- Energy relative to the elements, uncorrected: -0.46 eV per atom
- Total magnetic moment: 0.00 μB/cell

Record 3
AgP2RhCl: optimized geometry, GGA-PBE.

a b c (Å): 4.4802 4.4802 5.4765
angles (deg): 90.00 90.00 90.00
Fractional positions:
P1 0.0000 0.5000 0.0000
P2 0.5000 0.0000 0.0000
Rh1 0.0000 0.0000 0.0000
Ag1 0.5000 0.5000 0.5000
Cl1 0.0000 0.0000 0.5000

Output
- Symmetry: P4/mmm, No. 123
- Energy above the lowest structure with this stoichiometry: 0 meV/atom
- Energy relative to the elements, uncorrected: 0.42 eV per atom
- Total magnetic moment: 0.00 μB/cell

Record 4
LaErN: optimized geometry, GGA-PBE.

a b c (Å): 4.3634 4.3634 4.3634
angles (deg): 60.00 60.00 60.00
Fractional positions:
N1 0.2500 0.2500 0.2500
La1 0.0000 0.0000 0.0000
Er1 0.5000 0.5000 0.5000

Output
- Symmetry: F-43m, No. 216
- Energy above the lowest structure with this stoichiometry: 666 meV/atom
- Energy relative to the elements, uncorrected: -0.30 eV per atom
- Total magnetic moment: 0.00 μB/cell